[1]
VASP calculation (PBE) on a geometry-optimized Co2NiIr structure.

Cell: 4.444 4.444 4.436 Å, 79.84 79.84 33.89°
Site moments in Bohr magnetons follow the coordinates.
Positions (direct):
Co  0.748  0.748  0.758  1.75
Ni  0.251  0.251  0.241  0.74
Co  0.002  0.002  0.999  1.49
Ir  0.498  0.498  0.501  0.33

For the electronic total energy, the calculation gives -7.180 eV/atom. As for the magnetic moment: 4.242 Bohr magnetons per cell. The volume comes out at 48.00 Å³ per cell.


[2]
VASP calculation (PBE) on a geometry-optimized Co2NiIr structure.

Cell: 3.973 2.576 4.906 Å, 74.71 90.00 90.00°
Site moments in Bohr magnetons follow the coordinates.
Positions (direct):
Co  0.000  0.192  0.992  1.65
Ni  0.500  0.798  0.780  0.79
Ir  0.000  0.450  0.473  0.41
Co  0.500  0.060  0.255  1.72

For the electronic total energy, the calculation gives -7.140 eV/atom. As for the magnetic moment: 4.498 Bohr magnetons per cell. The volume comes out at 48.45 Å³ per cell.


[3]
VASP calculation (PBE) on a geometry-optimized Co2NiIr structure.

Cell: 2.603 2.603 7.086 Å, 90.00 90.00 90.00°
Site moments in Bohr magnetons follow the coordinates.
Positions (direct):
Co  0.000  0.000  0.511  1.59
Ni  0.500  0.500  0.750  0.83
Co  0.000  0.000  0.989  1.59
Ir  0.500  0.500  0.250  0.29

For the electronic total energy, the calculation gives -7.147 eV/atom. As for the magnetic moment: 4.211 Bohr magnetons per cell. The volume comes out at 48.01 Å³ per cell.